Density functional theory data (GGA-PBE) for LiMg2Hg3 after structural relaxation.

It has space group P4/mmm (No. 123), with a = 3.365 Å, b = 3.365 Å, c = 10.795 Å, α = 90.00°, β = 90.00° and γ = 90.00°. The distinct sites, in fractional coordinates, are Li at (0.000, 0.000, 0.000), Mg at (0.000, 0.000, 0.323), Hg at (0.500, 0.500, 0.149) and Hg at (0.500, 0.500, 0.500).

For the energy, the calculation gives -1.271 eV per atom. For the formation enthalpy at 0 K, the calculation gives -269 meV per atom. For the energy above the most stable polymorph in this dataset, the calculation gives 0.0140 eV per atom.


Density functional theory data (GGA-PBE) for Li7Mg2Hg2 after structural relaxation.

It has space group C2/m (No. 12), with a = 7.349 Å, b = 8.690 Å, c = 7.122 Å, α = 90.00°, β = 104.86° and γ = 90.00°. The distinct sites, in fractional coordinates, are Li at (0.000, 0.000, 0.000), Li at (0.160, 0.000, 0.423), Li at (0.201, 0.310, 0.172), Mg at (0.000, 0.305, 0.500) and Hg at (0.113, 0.500, 0.839).

For the energy, the calculation gives -1.737 eV per atom. For the formation enthalpy at 0 K, the calculation gives -175 meV per atom.


Density functional theory data (GGA-PBE) for Li4Mg5Hg2 after structural relaxation.

It has space group R-3m (No. 166, hexagonal axes), with a = 4.7137 Å, b = 4.7137 Å, c = 39.5655 Å, α = 90.00°, β = 90.00° and γ = 120.00°. The distinct sites, in fractional coordinates, are Li at (0.0000, 0.0000, 0.0719), Li at (0.0000, 0.0000, 0.2293), Mg at (0.0000, 0.0000, 0.0000), Mg at (0.0000, 0.0000, 0.1475), Mg at (0.0000, 0.0000, 0.3041) and Hg at (0.0000, 0.0000, 0.3864).

For the energy, the calculation gives -1.501 eV per atom. For the formation enthalpy at 0 K, the calculation gives -25 meV per atom.


The evaluated magnetic moment for the records listed, in turn: 0.000, 0.000, 0.000 μB/atom.